## w
{"formula": "CaBe2AlPb", "functional": "PBE", "state": "optimized geometry", "lattice": [[-2.038, 2.632, 3.915], [-2.321, -4.625, 1.902], [4.193, -0.945, 2.818]], "species": ["Pb", "Ca", "Al", "Be", "Be"], "fractional_positions": [[0.500, 0.500, 0.500], [0.000, 0.000, 0.000], [0.000, 0.500, 0.000], [0.500, 0.000, 0.000], [0.000, 0.000, 0.500]], "space_group": "P4/mmm", "magmom_total_mub_per_cell": 0.00}



## x
{"formula": "CaBe2AlPb", "functional": "PBE", "state": "optimized geometry", "lattice": [[-0.696, 3.014, 3.307], [-5.392, -1.674, 0.391], [1.187, -3.103, 3.077]], "species": ["Be", "Be", "Pb", "Al", "Ca"], "fractional_positions": [[0.500, 0.000, 0.000], [0.000, 0.000, 0.500], [0.000, 0.500, 0.000], [0.000, 0.000, 0.000], [0.500, 0.500, 0.500]], "space_group": "P4/mmm", "magmom_total_mub_per_cell": 0.00}



Verdict on stability: x comes out on top.



## w
{"formula": "BeAl3Cd", "functional": "PBE", "state": "optimized geometry", "lattice": [[-2.928, 2.044, 2.761], [-1.135, -3.999, 1.757], [3.242, 0.446, 3.108]], "species": ["Al", "Al", "Al", "Be", "Cd"], "fractional_positions": [[0.000, 0.000, 0.500], [0.000, 0.500, 0.000], [0.500, 0.000, 0.000], [0.000, 0.000, 0.000], [0.500, 0.500, 0.500]], "space_group": "Pm-3m", "magmom_total_mub_per_cell": 0.00}



## x
{"formula": "BeAl3Cd", "functional": "PBE", "state": "optimized geometry", "lattice": [[-3.595, -3.505, -0.426], [0.950, -0.375, -4.935], [3.401, -3.601, 0.929]], "species": ["Be", "Cd", "Al", "Al", "Al"], "fractional_positions": [[0.500, 0.500, 0.500], [0.000, 0.000, 0.000], [0.000, 0.500, 0.000], [0.500, 0.000, 0.000], [0.000, 0.000, 0.500]], "space_group": "Pm-3m", "magmom_total_mub_per_cell": 0.00}



Verdict on stability: w comes out on top.



## w
{"formula": "Be2AlCd", "functional": "PBE", "state": "optimized geometry", "lattice": [[-2.520, -1.480, -3.211], [-3.537, -2.344, 0.921], [-3.949, 1.695, -0.617]], "species": ["Be", "Be", "Al", "Cd"], "fractional_positions": [[0.250, 0.250, 0.250], [0.000, 0.000, 0.000], [0.500, 0.500, 0.500], [0.750, 0.750, 0.750]], "space_group": "F-43m", "magmom_total_mub_per_cell": 0.00}



## x
{"formula": "Be2AlCd", "functional": "PBE", "state": "optimized geometry", "lattice": [[2.724, 0.000, 0.000], [0.000, 2.724, 0.000], [0.000, 0.000, 7.696]], "species": ["Be", "Be", "Al", "Cd"], "fractional_positions": [[0.500, 0.500, 0.199], [0.000, 0.000, 0.034], [0.500, 0.500, 0.804], [0.000, 0.000, 0.464]], "space_group": "P4mm", "magmom_total_mub_per_cell": 0.00}



Verdict on stability: x comes out on top.



## w
{"formula": "Be2AlCd", "functional": "PBE", "state": "optimized geometry", "lattice": [[2.613, 0.000, 0.000], [0.000, 3.331, 0.000], [0.000, 0.000, 6.589]], "species": ["Cd", "Al", "Be", "Be"], "fractional_positions": [[0.000, 0.000, 0.462], [0.500, 0.500, 0.808], [0.500, 0.500, 0.188], [0.000, 0.000, 0.041]], "space_group": "Pmm2", "magmom_total_mub_per_cell": 0.00}



## x
{"formula": "Be2AlCd", "functional": "PBE", "state": "optimized geometry", "lattice": [[-0.889, 4.219, -0.985], [-3.750, -2.333, -0.230], [-0.543, 0.579, 2.970]], "species": ["Cd", "Be", "Be", "Al"], "fractional_positions": [[0.500, 0.000, 0.500], [0.500, 0.500, 0.000], [0.000, 0.000, 0.000], [0.000, 0.500, 0.500]], "space_group": "Cmmm", "magmom_total_mub_per_cell": 0.00}



## y
{"formula": "Be2AlCd", "functional": "PBE", "state": "optimized geometry", "lattice": [[6.100, 0.013, 0.001], [4.233, 4.393, -0.001], [-4.825, -3.003, 2.216]], "species": ["Be", "Be", "Cd", "Al"], "fractional_positions": [[0.921, 0.921, 0.000], [0.757, 0.257, 0.500], [0.544, 0.544, 0.000], [0.278, 0.778, 0.500]], "space_group": "Imm2", "magmom_total_mub_per_cell": 0.00}



Verdict on stability: y comes out on top.



## w
{"formula": "Be2AlCd", "functional": "PBE", "state": "optimized geometry", "lattice": [[-2.852, -0.481, -3.405], [-3.849, -1.798, -1.385], [-4.812, 3.977, 0.218]], "species": ["Be", "Be", "Al", "Cd"], "fractional_positions": [[0.488, 0.488, 0.404], [0.012, 0.012, 0.096], [0.250, 0.250, 0.250], [0.750, 0.750, 0.750]], "space_group": "C2/m", "magmom_total_mub_per_cell": 0.00}



## x
{"formula": "Be2AlCd", "functional": "PBE", "state": "optimized geometry", "lattice": [[1.790, 2.238, 3.214], [-2.434, 1.407, 3.262], [0.394, -1.776, 3.903]], "species": ["Al", "Be", "Be", "Cd"], "fractional_positions": [[0.000, 0.000, 0.000], [0.750, 0.750, 0.750], [0.250, 0.250, 0.250], [0.500, 0.500, 0.500]], "space_group": "Fm-3m", "magmom_total_mub_per_cell": 0.00}



## y
{"formula": "Be2AlCd", "functional": "PBE", "state": "optimized geometry", "lattice": [[3.909, 0.000, 0.000], [0.000, 3.910, 0.000], [0.000, 0.000, 3.706]], "species": ["Al", "Cd", "Be", "Be"], "fractional_positions": [[0.000, 0.500, 0.500], [0.500, 0.000, 0.500], [0.500, 0.500, 0.000], [0.000, 0.000, 0.000]], "space_group": "P4/mmm", "magmom_total_mub_per_cell": 0.00}



Verdict on stability: w comes out on top.



## w
{"formula": "Ce2BeAl", "functional": "PBE", "state": "optimized geometry", "lattice": [[3.574, 0.000, 0.000], [0.000, 3.574, 0.000], [0.000, 0.000, 6.761]], "species": ["Ce", "Ce", "Al", "Be"], "fractional_positions": [[0.000, 0.000, 0.785], [0.000, 0.000, 0.215], [0.500, 0.500, 0.500], [0.500, 0.500, 0.000]], "space_group": "P4/mmm", "magmom_total_mub_per_cell": 0.47}



## x
{"formula": "Ce2BeAl", "functional": "PBE", "state": "optimized geometry", "lattice": [[2.906, 0.000, 0.000], [1.453, 2.517, 0.000], [1.453, 0.839, 11.430]], "species": ["Al", "Ce", "Ce", "Be"], "fractional_positions": [[0.500, 0.500, 0.500], [0.086, 0.086, 0.741], [0.914, 0.914, 0.259], [0.000, 0.000, 0.000]], "space_group": "R-3m", "magmom_total_mub_per_cell": 0.00}



Verdict on stability: w comes out on top.